Compound: LiIn2Pt2
Source: the Alexandria database
Functional: PBE
Structure: optimized geometry

a = 8.0131 Å, b = 8.0131 Å, c = 2.9750 Å
α = 90.00°, β = 90.00°, γ = 90.00°
Space group P4/mbm (No. 127)
Symmetry-distinct sites (fractional):
Li  0.0000  0.0000  0.0000
In  0.1440  0.3560  0.0000
Pt  0.1550  0.6550  0.5000

Calculated values
**Crystal system**: tetragonal
**D(E_F)**: 1.58 states/eV/f.u.
**Offset from the most stable computed form**: 40 meV per atom
**Calculated volume**: 191.0 Å³/cell
**Energy of formation from the pure elements**: -0.47 eV/atom
**Raw total energy**: -4.37 eV/atom